1.
Below is an optimized crystal structure of Ba3NiIr, with properties calculated at the GGA-PBE level.

a = 5.9881 Å, b = 5.9881 Å, c = 5.9881 Å
α = 90.00°, β = 90.00°, γ = 90.00°
Each line ends with the local moment (μB).
Fractional coordinates of all 5 atoms:
Ni (0.5000, 0.5000, 0.5000)  0.31
Ir (0.0000, 0.0000, 0.0000)  -0.01
Ba (0.0000, 0.5000, 0.0000)  -0.01
Ba (0.0000, 0.0000, 0.5000)  -0.01
Ba (0.5000, 0.0000, 0.0000)  -0.01

Summary:
energy of formation from the pure elements = 0.343 eV/atom

---

2.
Below is an optimized crystal structure of Pa3Mn6Si5, with properties calculated at the GGA-PBE level.

a = 3.9678 Å, b = 9.4243 Å, c = 11.8627 Å
α = 90.00°, β = 90.00°, γ = 90.00°
Each line ends with the local moment (μB).
Fractional coordinates of all 28 atoms:
Pa (0.0000, 0.2568, 0.6731)  -0.05
Pa (0.5000, 0.7432, 0.1731)  -0.05
Pa (0.5000, 0.7432, 0.8269)  -0.05
Pa (0.0000, 0.2415, 0.0000)  -0.20
Pa (0.5000, 0.7585, 0.5000)  -0.20
Pa (0.0000, 0.2568, 0.3269)  -0.05
Mn (0.0000, 0.0022, 0.8315)  1.86
Mn (0.5000, 0.9978, 0.6685)  1.86
Mn (0.5000, 0.4048, 0.8055)  1.08
Mn (0.5000, 0.4906, 0.0000)  2.25
Mn (0.0000, 0.5094, 0.5000)  2.25
Mn (0.0000, 0.5952, 0.6945)  1.08
Mn (0.0000, 0.5952, 0.3055)  1.08
Mn (0.5000, 0.0043, 0.0000)  1.60
Mn (0.0000, 0.0022, 0.1685)  1.86
Mn (0.5000, 0.4048, 0.1945)  1.08
Mn (0.0000, 0.9957, 0.5000)  1.60
Mn (0.5000, 0.9978, 0.3315)  1.86
Si (0.0000, 0.5091, 0.8786)  -0.04
Si (0.0000, 0.8502, 0.6685)  -0.05
Si (0.0000, 0.8617, 0.0000)  -0.04
Si (0.5000, 0.4909, 0.6214)  -0.04
Si (0.5000, 0.1383, 0.5000)  -0.04
Si (0.0000, 0.5091, 0.1214)  -0.04
Si (0.5000, 0.4909, 0.3786)  -0.04
Si (0.0000, 0.8502, 0.3315)  -0.05
Si (0.5000, 0.1498, 0.8315)  -0.05
Si (0.5000, 0.1498, 0.1685)  -0.05

Summary:
ΔE_f (raw) = -0.44 eV per atom

---

3.
Below is an optimized crystal structure of Ac4NdSm4, with properties calculated at the GGA-PBE level.

a = 5.3513 Å, b = 8.5074 Å, c = 8.5074 Å
α = 84.32°, β = 71.67°, γ = 71.67°
Fractional coordinates of all 9 atoms:
Ac (0.3335, 0.3332, 0.9999)
Ac (0.6665, 0.6668, 0.0001)
Ac (0.6666, 0.9999, 0.6668)
Ac (0.3334, 0.0001, 0.3332)
Nd (0.0000, 0.0000, 0.0000)
Sm (0.0000, 0.6597, 0.3402)
Sm (0.0000, 0.3403, 0.6598)
Sm (0.6598, 0.3402, 0.3403)
Sm (0.3402, 0.6598, 0.6597)

Summary:
energy of formation from the pure elements = 0.044 eV/atom

---

4.
Below is an optimized crystal structure of CeNdY3, with properties calculated at the GGA-PBE level.

a = 6.3339 Å, b = 9.6224 Å, c = 8.5071 Å
α = 119.01°, β = 111.78°, γ = 108.90°
Each line ends with the local moment (μB).
Fractional coordinates of all 10 atoms:
Ce (0.0649, 0.0480, 0.7361)  0.72
Ce (0.9351, 0.9520, 0.2639)  0.72
Nd (0.5370, 0.1538, 0.2535)  0.02
Nd (0.4630, 0.8462, 0.7465)  0.02
Y (0.7250, 0.5477, 0.2471)  0.02
Y (0.8676, 0.6575, 0.7558)  0.01
Y (0.3311, 0.7469, 0.2471)  0.02
Y (0.6689, 0.2531, 0.7529)  0.02
Y (0.2750, 0.4523, 0.7529)  0.02
Y (0.1324, 0.3425, 0.2442)  0.01

Summary:
energy of formation from the pure elements = 0.063 eV/atom

---

5.
Below is an optimized crystal structure of FeHW, with properties calculated at the GGA-PBE level.

a = 2.7575 Å, b = 4.6697 Å, c = 4.7049 Å
α = 100.46°, β = 107.04°, γ = 90.00°
Fractional coordinates of all 6 atoms:
Fe (0.6225, 0.8650, 0.2450)
Fe (0.3775, 0.1350, 0.7550)
H (0.2385, 0.7779, 0.4770)
H (0.7615, 0.2221, 0.5230)
W (0.8878, 0.6572, 0.7756)
W (0.1122, 0.3428, 0.2244)

---

6.
Below is an optimized crystal structure of CdSb2Se, with properties calculated at the GGA-PBE level.

a = 3.5580 Å, b = 3.5580 Å, c = 7.9919 Å
α = 90.00°, β = 90.00°, γ = 98.88°
Fractional coordinates of all 4 atoms:
Cd (0.5000, 0.5000, 0.7500)
Sb (0.0000, 0.0000, 0.0122)
Sb (0.0000, 0.0000, 0.4878)
Se (0.5000, 0.5000, 0.2500)

Summary:
ΔE_f (raw) = 0.17 eV per atom

---

7.
Below is an optimized crystal structure of NaTh2S4, with properties calculated at the GGA-PBE level.

a = 4.0495 Å, b = 7.0057 Å, c = 13.6915 Å
α = 90.00°, β = 90.00°, γ = 106.80°
Fractional coordinates of all 14 atoms:
Na (0.6103, 0.2206, 0.7500)
Na (0.3897, 0.7794, 0.2500)
Th (0.1285, 0.2571, 0.4301)
Th (0.8715, 0.7429, 0.9301)
Th (0.1285, 0.2571, 0.0699)
Th (0.8715, 0.7429, 0.5699)
S (0.7694, 0.5388, 0.1123)
S (0.7694, 0.5388, 0.3877)
S (0.2306, 0.4612, 0.8877)
S (0.2306, 0.4612, 0.6123)
S (0.9579, 0.9157, 0.7500)
S (0.0421, 0.0843, 0.2500)
S (0.5000, 0.0000, 0.0000)
S (0.5000, 0.0000, 0.5000)

Summary:
ΔE_f (raw) = -1.77 eV per atom

---

8.
Below is an optimized crystal structure of TlTcI2O, with properties calculated at the GGA-PBE level.

a = 5.8186 Å, b = 5.8186 Å, c = 3.8111 Å
α = 90.00°, β = 90.00°, γ = 90.00°
Fractional coordinates of all 5 atoms:
I (0.0000, 0.5000, 0.0000)
I (0.5000, 0.0000, 0.0000)
Tl (0.5000, 0.5000, 0.5000)
Tc (0.0000, 0.0000, 0.0000)
O (0.0000, 0.0000, 0.5000)

Summary:
ΔE_f (raw) = -0.43 eV per atom

---

The total energy results, record by record, are as follows: -18.69, -116.79, -39.68, -29.78, -24.44, -11.95, -45.07, -22.92 eV/f.u..